No. 1
Density functional theory data (GGA-PBE) for crystalline La2NiRhN at its relaxed geometry.

Cell lengths 5.1514, 5.1514, 3.6591 Å; angles 90.00, 90.00, 90.00 degrees
Space group P4/mmm (No. 123)
Inequivalent atoms, fractional coordinates:
La 0.0000 0.5000 0.0000 (multiplicity 2)
Ni 0.0000 0.0000 0.5000 (multiplicity 1)
Rh 0.5000 0.5000 0.5000 (multiplicity 1)
N 0.0000 0.0000 0.0000 (multiplicity 1)

Summary:
E_tot (eV per atom): -7.037
Formation energy (no corrections) (eV/atom): -0.774



No. 2
Density functional theory data (GGA-PBE) for crystalline BaCd2Pd3 at its relaxed geometry.

Cell lengths 10.8214, 9.1590, 5.7777 Å; angles 90.00, 90.00, 90.00 degrees
Space group Cmcm (No. 63)
Inequivalent atoms, fractional coordinates:
Ba 0.0000 0.2060 0.2500 (multiplicity 4)
Cd 0.2161 0.5000 0.0000 (multiplicity 8)
Pd 0.0000 0.4320 0.7500 (multiplicity 4)
Pd 0.1996 0.2382 0.7500 (multiplicity 8)

Summary:
E_tot (eV per atom): -3.638
ΔH_f (0 K) (eV/atom): -0.4165



No. 3
Density functional theory data (GGA-PBE) for crystalline CuPdSe at its relaxed geometry.

Cell lengths 3.3752, 3.3752, 8.1608 Å; angles 90.00, 90.00, 90.00 degrees
Space group I4mm (No. 107)
Inequivalent atoms, fractional coordinates:
Cu 0.0000 0.0000 0.0000 (multiplicity 2)
Pd 0.0000 0.0000 0.6648 (multiplicity 2)
Se 0.0000 0.0000 0.3497 (multiplicity 2)

Summary:
Energy above the lowest structure with this stoichiometry (eV/atom): 0.112
E_tot (eV per atom): -4.293
Formation energy (no corrections) (eV/atom): -0.035



No. 4
Density functional theory data (GGA-PBE) for crystalline KTh3Se6 at its relaxed geometry.

Cell lengths 11.6721, 4.3738, 12.8105 Å; angles 90.00, 110.23, 90.00 degrees
Space group P2_1/m (No. 11)
Inequivalent atoms, fractional coordinates:
K 0.2228 0.2500 0.0993 (multiplicity 2)
Th 0.0260 0.2500 0.7251 (multiplicity 2)
Th 0.3215 0.2500 0.4744 (multiplicity 2)
Th 0.3800 0.7500 0.8532 (multiplicity 2)
Se 0.0610 0.2500 0.4275 (multiplicity 2)
Se 0.1222 0.7500 0.8856 (multiplicity 2)
Se 0.2376 0.7500 0.3048 (multiplicity 2)
Se 0.2617 0.2500 0.6935 (multiplicity 2)
Se 0.4379 0.7500 0.0952 (multiplicity 2)
Se 0.4685 0.7500 0.6135 (multiplicity 2)

Summary:
E_tot (eV per atom): -6.059
Formation energy (no corrections) (eV/atom): -1.633